Version P
The following is a DFT calculation (GGA-PBE) of LaZr2As2 after structural relaxation. Values from VASP.

```
&SYSTEM
  ibrav = 0, nat = 10, ntyp = 3
/
ATOMIC_SPECIES
La 138.91 La.upf
Zr 91.22 Zr.upf
As 74.92 As.upf
CELL_PARAMETERS angstrom
4.2121 0.0000 0.0000
0.0000 4.2121 0.0000
0.0000 0.0000 13.1649
ATOMIC_POSITIONS crystal
La 0.0000 0.0000 0.0000
La 0.5000 0.5000 0.5000
Zr 0.0000 0.5000 0.2500
Zr 0.0000 0.5000 0.7500
Zr 0.5000 0.0000 0.2500
Zr 0.5000 0.0000 0.7500
As 0.0000 0.0000 0.3887
As 0.0000 0.0000 0.6113
As 0.5000 0.5000 0.1113
As 0.5000 0.5000 0.8887
```

Values from the calculation:
total moment: 0.00 μB per cell
calculated volume: 116.8 Å³/f.u.

Version Q
The following is a DFT calculation (GGA-PBE) of LaZr2As2 after structural relaxation. Values from VASP.

```
&SYSTEM
  ibrav = 0, nat = 10, ntyp = 3
/
ATOMIC_SPECIES
La 138.91 La.upf
Zr 91.22 Zr.upf
As 74.92 As.upf
CELL_PARAMETERS angstrom
5.1186 0.0000 0.0000
0.0000 5.1186 0.0000
0.0000 0.0000 9.3795
ATOMIC_POSITIONS crystal
La 0.0000 0.0000 0.0000
La 0.5000 0.5000 0.5000
Zr 0.0000 0.0000 0.3439
Zr 0.0000 0.0000 0.6561
Zr 0.5000 0.5000 0.1561
Zr 0.5000 0.5000 0.8439
As 0.0000 0.5000 0.2500
As 0.0000 0.5000 0.7500
As 0.5000 0.0000 0.2500
As 0.5000 0.0000 0.7500
```

Values from the calculation:
total moment: 0.00 μB per cell
calculated volume: 122.9 Å³/f.u.

Computed relative energies in units of meV per atom: version P 0; version Q 239

Version P
The following is a DFT calculation (GGA-PBE) of LaZrAs3 after structural relaxation. Values from VASP.

```
&SYSTEM
  ibrav = 0, nat = 5, ntyp = 3
/
ATOMIC_SPECIES
La 138.91 La.upf
Zr 91.22 Zr.upf
As 74.92 As.upf
CELL_PARAMETERS angstrom
5.1478 0.0000 0.0000
0.0000 5.1478 0.0000
0.0000 0.0000 5.1478
ATOMIC_POSITIONS crystal
La 0.0000 0.0000 0.0000
Zr 0.5000 0.5000 0.5000
As 0.0000 0.5000 0.5000
As 0.5000 0.0000 0.5000
As 0.5000 0.5000 0.0000
```

Values from the calculation:
total moment: 0.00 μB per cell
calculated volume: 136.4 Å³/f.u.

Version Q
The following is a DFT calculation (GGA-PBE) of LaZrAs3 after structural relaxation. Values from VASP.

```
&SYSTEM
  ibrav = 0, nat = 5, ntyp = 3
/
ATOMIC_SPECIES
La 138.91 La.upf
Zr 91.22 Zr.upf
As 74.92 As.upf
CELL_PARAMETERS angstrom
5.3945 0.0000 0.0000
0.0000 5.3945 0.0000
0.0000 0.0000 5.3945
ATOMIC_POSITIONS crystal
La 0.0000 0.0000 0.0000
Zr 0.5000 0.5000 0.5000
As 0.0000 0.0000 0.5000
As 0.0000 0.5000 0.0000
As 0.5000 0.0000 0.0000
```

Values from the calculation:
total moment: 0.00 μB per cell
calculated volume: 157.0 Å³/f.u.

Computed relative energies in units of meV per atom: version P 0; version Q 1325

Version P
The following is a DFT calculation (GGA-PBE) of La2Zr2As after structural relaxation. Values from VASP.

```
&SYSTEM
  ibrav = 0, nat = 10, ntyp = 3
/
ATOMIC_SPECIES
La 138.91 La.upf
Zr 91.22 Zr.upf
As 74.92 As.upf
CELL_PARAMETERS angstrom
3.9077 0.0000 0.0000
0.0000 3.9077 0.0000
0.0000 0.0000 19.4074
ATOMIC_POSITIONS crystal
La 0.0000 0.0000 0.0851
La 0.0000 0.0000 0.9149
La 0.5000 0.5000 0.4149
La 0.5000 0.5000 0.5851
Zr 0.0000 0.5000 0.2500
Zr 0.0000 0.5000 0.7500
Zr 0.5000 0.0000 0.2500
Zr 0.5000 0.0000 0.7500
As 0.0000 0.0000 0.5000
As 0.5000 0.5000 0.0000
```

Values from the calculation:
total moment: 0.92 μB per cell
calculated volume: 148.2 Å³/f.u.

Version Q
The following is a DFT calculation (GGA-PBE) of La2Zr2As after structural relaxation. Values from VASP.

```
&SYSTEM
  ibrav = 0, nat = 10, ntyp = 3
/
ATOMIC_SPECIES
La 138.91 La.upf
Zr 91.22 Zr.upf
As 74.92 As.upf
CELL_PARAMETERS angstrom
7.2575 0.0000 0.0000
0.0000 7.2575 0.0000
0.0000 0.0000 5.0748
ATOMIC_POSITIONS crystal
La 0.1682 0.3318 0.0000
La 0.3318 0.8318 0.0000
La 0.6682 0.1682 0.0000
La 0.8318 0.6682 0.0000
Zr 0.1489 0.6489 0.5000
Zr 0.3511 0.1489 0.5000
Zr 0.6489 0.8511 0.5000
Zr 0.8511 0.3511 0.5000
As 0.0000 0.0000 0.5000
As 0.5000 0.5000 0.5000
```

Values from the calculation:
total moment: 0.00 μB per cell
calculated volume: 133.6 Å³/f.u.

Computed relative energies in units of meV per atom: version P 174; version Q 0

Version P
The following is a DFT calculation (GGA-PBE) of La3ZrAs after structural relaxation. Values from VASP.

```
&SYSTEM
  ibrav = 0, nat = 5, ntyp = 3
/
ATOMIC_SPECIES
La 138.91 La.upf
Zr 91.22 Zr.upf
As 74.92 As.upf
CELL_PARAMETERS angstrom
5.5549 0.0000 0.0000
0.0000 5.5549 0.0000
0.0000 0.0000 5.5549
ATOMIC_POSITIONS crystal
La 0.0000 0.0000 0.5000
La 0.0000 0.5000 0.0000
La 0.5000 0.0000 0.0000
Zr 0.0000 0.0000 0.0000
As 0.5000 0.5000 0.5000
```

Values from the calculation:
total moment: 0.00 μB per cell
calculated volume: 171.4 Å³/f.u.

Version Q
The following is a DFT calculation (GGA-PBE) of La3ZrAs after structural relaxation. Values from VASP.

```
&SYSTEM
  ibrav = 0, nat = 5, ntyp = 3
/
ATOMIC_SPECIES
La 138.91 La.upf
Zr 91.22 Zr.upf
As 74.92 As.upf
CELL_PARAMETERS angstrom
5.7216 0.0000 0.0000
0.0000 5.7216 0.0000
0.0000 0.0000 5.7216
ATOMIC_POSITIONS crystal
La 0.0000 0.0000 0.5000
La 0.0000 0.5000 0.0000
La 0.5000 0.0000 0.0000
Zr 0.5000 0.5000 0.5000
As 0.0000 0.0000 0.0000
```

Values from the calculation:
total moment: 2.11 μB per cell
calculated volume: 187.3 Å³/f.u.

Computed relative energies in units of meV per atom: version P 334; version Q 0